VASP calculation (PBE+U) on a relaxed structure of Li4Ti3V3O12.

The calculation puts the total energy at -7.58 eV per atom. The calculation puts the density of states at the Fermi level at 0.32 states/eV/cell. As for the total magnetization: 7.0 μB/cell.

The space group is P-1 (No. 2) and the conventional cell measures 5.1954, 6.0471 and 7.9484 Å, with angles of 77.77, 76.60 and 72.51 degrees. The asymmetric unit holds Li at (0.0032, 0.3332, 0.1651), Li at (0.4928, 0.8362, 0.6659), Ti at (0.0000, 0.5000, 0.5000), Ti at (0.0149, 0.8298, 0.1634), V at (0.4986, 0.6711, 0.3297), V at (0.5000, 0.0000, 0.0000), O at (0.2222, 0.8591, 0.9193), O at (0.2295, 0.5141, 0.2653), O at (0.2316, 0.3179, 0.9005), O at (0.2351, 0.1894, 0.5942), O at (0.2489, 0.9795, 0.2422) and O at (0.2560, 0.6363, 0.5737).